# 1
VASP calculation (PBE) on LaTb3TmTh after structural relaxation.

Structure (extended XYZ):
```
12
Lattice="-3.1353 -3.1056 2.5005 -3.5186 -2.0230 -6.9245 8.3524 -6.0234 2.9917" Properties=species:S:1:pos:R:3 pbc="T T T"
La 1.2317 -2.7896 0.6519
Tm 4.0102 -4.8256 1.6070
Tb -5.0376 -4.3391 -3.9891
La 0.4669 -8.3625 -2.0842
Tb 6.7362 -6.8130 2.5567
Tb 0.8101 -4.7830 -2.3526
Tb -1.9830 -4.3487 -0.1708
Th -1.9484 -2.7658 -3.3060
Tb 0.8885 -6.3691 0.9203
Th 3.6470 -8.3863 1.8737
Tm -2.3116 -6.3265 -3.0393
Tb 3.6816 -6.8034 -1.2615
```

- ΔE_f (eV/atom) = 0.04
- space-group type = No. 11

***

# 2
VASP calculation (PBE) on Sr2TlBi3Rh4 after structural relaxation.

Structure (extended XYZ):
```
10
Lattice="4.6669 0.0000 0.0000 0.0000 4.6669 0.0000 0.0000 0.0000 11.1876" Properties=species:S:1:pos:R:3 pbc="T T T"
Bi 0.0000 2.3334 1.4289
Bi 2.3334 0.0000 9.7587
Tl 2.3334 2.3334 5.5938
Bi 0.0000 0.0000 5.5938
Sr 0.0000 2.3334 8.4268
Rh 0.0000 2.3334 4.1023
Rh 0.0000 0.0000 0.0000
Rh 2.3334 0.0000 7.0854
Rh 2.3334 2.3334 0.0000
Sr 2.3334 0.0000 2.7609
```

- ΔE_f (eV/atom) = -0.37
- space-group type = No. 115

***

# 3
VASP calculation (PBE) on ZnFe2Mo after structural relaxation.

Structure (extended XYZ):
```
4
Lattice="4.7794 0.0045 0.0452 3.9576 2.6795 0.0452 1.3443 0.4130 4.0929" Properties=species:S:1:pos:R:3 pbc="T T T"
Zn 2.5807 0.7928 0.9285
Mo 4.9755 1.5285 2.2038
Fe 0.1217 0.0374 0.0258
Fe 7.4439 2.2868 3.1169
```

- ΔE_f (eV/atom) = 0.15
- space-group type = No. 8

***

# 4
VASP calculation (PBE) on Tb3Tl5S12 after structural relaxation.

Structure (extended XYZ):
```
80
Lattice="13.8418 0.0000 0.0000 -4.6139 13.0502 0.0000 -4.6139 -6.5251 11.3018" Properties=species:S:1:pos:R:3 pbc="T T T"
S -0.6269 0.8008 2.5045
Tl 8.0744 -0.8156 7.0636
S -2.9339 7.3259 8.7973
Tl 1.1535 4.0782 9.8890
S 3.2709 5.5936 4.6794
S -3.9870 5.8319 6.2096
S 1.3430 0.9315 6.6224
S 0.0935 4.4702 4.6767
S 1.6800 5.0311 7.5966
Tl -2.3070 6.5251 0.0000
S 5.0445 -1.6859 10.3302
Tb -5.7674 6.5251 8.4763
S 5.5779 -0.9315 6.6224
S 7.0144 11.6026 0.5587
S -0.4306 8.2109 0.9715
Tb 3.4604 0.0000 8.4763
S 1.8764 -1.6843 10.3275
Tl -2.3070 -3.2625 5.6509
S 0.6269 8.0191 7.5966
Tl 2.3070 3.2625 5.6509
S -1.6800 -0.6932 5.0921
S 10.1918 2.9384 3.1464
Tl 3.4604 9.7876 2.8254
S -0.9640 7.4566 4.6794
Tl 4.6139 -3.2625 5.6509
Tl 0.0000 0.0000 0.0000
Tl 6.9209 0.0000 0.0000
Tb 5.7674 0.8156 4.2382
Tl -3.4604 7.3407 4.2382
S 5.0445 1.6843 10.3275
S 5.9569 2.0069 1.5330
S 5.9569 10.1118 3.1464
Tl 4.6139 6.5251 0.0000
S 7.5478 -0.8008 2.5045
Tb -1.1535 5.7094 7.0636
Tb 8.0744 8.9720 1.4127
S -3.6500 11.0433 1.5330
S 2.2134 8.5800 4.6767
S 4.5204 2.0549 6.6251
Tl -1.1535 10.6033 1.4127
S 2.7375 8.2094 0.9742
Tb 3.4604 7.3407 7.0636
S -5.5779 3.5867 8.1554
Tl -1.1535 3.2625 2.8254
S 1.8764 1.6859 10.3302
Tl 5.7674 -4.0782 9.8890
Tb -3.4604 -2.4469 9.8890
S 3.9870 -1.4940 3.7051
S 6.4903 6.5235 1.9458
S -2.4005 3.0227 7.1839
S 5.2409 5.7243 8.7973
Tb -3.4604 2.4469 9.8890
S 9.1343 1.4475 0.5587
S 6.2940 7.2183 6.2096
Tl 3.4604 2.4469 1.4127
Tb 1.1535 6.5251 2.8254
Tb 8.0744 4.0782 1.4127
S -4.5204 5.0775 10.7430
S 8.6009 0.6932 5.0921
S -0.4306 4.8408 0.9742
S -1.8764 0.0016 9.3560
S 9.6584 6.5266 1.9458
Tl 5.7674 5.7094 4.2382
S -1.3430 -3.5867 8.1554
Tl 5.7674 3.2625 8.4763
S 9.3214 -3.0227 7.1839
S -5.0445 -0.0016 9.3560
S 2.7375 4.8392 0.9715
Tb 10.3813 0.0000 2.8254
Tl 1.1535 -3.2625 8.4763
S 2.9339 1.4940 3.7051
S -4.7075 9.5477 4.1179
S -1.3430 4.5182 9.7688
S -2.4005 -5.0776 10.7430
Tl -1.1535 0.8156 7.0636
S 7.0144 3.5024 4.1179
S 8.2639 -4.5182 9.7688
Tb 1.1535 -0.8156 4.2382
Tl -4.6139 3.2625 5.6509
S 2.4005 -2.0549 6.6251
```

- space-group type = No. 230
- energy relative to the elements, uncorrected (kJ/mol of atoms) = -71.7

***

# 5
VASP calculation (PBE) on Cs4Tl2I after structural relaxation.

Structure (extended XYZ):
```
7
Lattice="-2.0117 -5.2547 -5.1688 -3.5632 -3.9969 5.4501 -10.5705 0.0129 -1.5459" Properties=species:S:1:pos:R:3 pbc="T T T"
I 0.0000 0.0000 0.0000
Cs -8.7646 -7.3505 -0.4099
Tl -12.1046 -5.3598 -1.1336
Cs -1.7816 -1.9984 2.7251
Cs -1.0059 -2.6273 -2.5844
Tl -4.0408 -3.8788 -0.1309
Cs -7.3808 -1.8881 -0.8547
```

- space-group type = No. 139
- energy relative to the elements, uncorrected (kJ/mol of atoms) = -34.9

***

# 6
VASP calculation (PBE) on InRe2Ni after structural relaxation.

Structure (extended XYZ):
```
4
Lattice="-1.9288 4.8968 -0.7332 -3.2102 -3.9464 1.5351 -0.4634 0.7297 2.5828" Properties=species:S:1:pos:R:3 pbc="T T T"
In -1.1961 2.8132 0.9248
Re -2.5695 0.4752 0.4009
Ni -1.8368 -1.6084 2.0589
Re 0.0000 0.0000 0.0000
```

- ΔE_f (eV/atom) = 0.51
- space-group type = No. 12

***

Total moment values (in μB per formula unit) by entry order: 0.0 0.0 3.3 0.0 0.0 0.0.
DOS at the Fermi energy values (in states/eV/f.u.) by entry order: 9.7 8.5 3.2 6.2 7.6 4.1.